Entry 1:
! Sc2TaNiOs (PBE, relaxed); values from VASP
! Symmetry   No. 123
! Uncorrected energy   -7.678 eV/atom
! Total magnetization   0.0895 μB per atom
! Energy of formation   0.627 eV/atom
&SYSTEM
  ibrav = 0, nat = 5, ntyp = 4
/
ATOMIC_SPECIES
Sc 44.96 Sc.upf
Ta 180.95 Ta.upf
Ni 58.69 Ni.upf
Os 190.23 Os.upf
CELL_PARAMETERS angstrom
4.4645 0.0000 0.0000
0.0000 4.4645 0.0000
0.0000 0.0000 4.7627
ATOMIC_POSITIONS crystal
Sc 0.0000 0.5000 0.0000
Sc 0.5000 0.0000 0.0000
Ta 0.0000 0.0000 0.5000
Ni 0.5000 0.5000 0.0000
Os 0.5000 0.5000 0.5000



Entry 2:
! TbScNiOs (PBE, relaxed); values from VASP
! Symmetry   No. 216
! Uncorrected energy   -7.339 eV/atom
! Total magnetization   0.0001 μB per atom
! Energy of formation   -0.345 eV/atom
&SYSTEM
  ibrav = 0, nat = 16, ntyp = 4
/
ATOMIC_SPECIES
Tb 158.93 Tb.upf
Sc 44.96 Sc.upf
Ni 58.69 Ni.upf
Os 190.23 Os.upf
CELL_PARAMETERS angstrom
6.6121 0.0000 0.0000
0.0000 6.6121 0.0000
0.0000 0.0000 6.6121
ATOMIC_POSITIONS crystal
Tb 0.0000 0.0000 0.0000
Tb 0.0000 0.5000 0.5000
Tb 0.5000 0.0000 0.5000
Tb 0.5000 0.5000 0.0000
Sc 0.0000 0.0000 0.5000
Sc 0.0000 0.5000 0.0000
Sc 0.5000 0.0000 0.0000
Sc 0.5000 0.5000 0.5000
Ni 0.2500 0.2500 0.2500
Ni 0.2500 0.7500 0.7500
Ni 0.7500 0.2500 0.7500
Ni 0.7500 0.7500 0.2500
Os 0.2500 0.2500 0.7500
Os 0.2500 0.7500 0.2500
Os 0.7500 0.2500 0.2500
Os 0.7500 0.7500 0.7500



Entry 3:
! ThScNiOs (PBE, relaxed); values from VASP
! Symmetry   No. 216
! Uncorrected energy   -8.040 eV/atom
! Total magnetization   0.0000 μB per atom
! Energy of formation   -0.349 eV/atom
&SYSTEM
  ibrav = 0, nat = 16, ntyp = 4
/
ATOMIC_SPECIES
Th 232.04 Th.upf
Sc 44.96 Sc.upf
Ni 58.69 Ni.upf
Os 190.23 Os.upf
CELL_PARAMETERS angstrom
6.7788 0.0000 0.0000
0.0000 6.7788 0.0000
0.0000 0.0000 6.7788
ATOMIC_POSITIONS crystal
Th 0.0000 0.0000 0.0000
Th 0.0000 0.5000 0.5000
Th 0.5000 0.0000 0.5000
Th 0.5000 0.5000 0.0000
Sc 0.0000 0.0000 0.5000
Sc 0.0000 0.5000 0.0000
Sc 0.5000 0.0000 0.0000
Sc 0.5000 0.5000 0.5000
Ni 0.2500 0.2500 0.7500
Ni 0.2500 0.7500 0.2500
Ni 0.7500 0.2500 0.2500
Ni 0.7500 0.7500 0.7500
Os 0.2500 0.2500 0.2500
Os 0.2500 0.7500 0.7500
Os 0.7500 0.2500 0.7500
Os 0.7500 0.7500 0.2500



Entry 4:
! TmScNiOs (PBE, relaxed); values from VASP
! Symmetry   No. 216
! Uncorrected energy   -7.376 eV/atom
! Total magnetization   0.0000 μB per atom
! E above lowest polymorph   8.3 meV per atom
! Energy of formation   -0.422 eV/atom
&SYSTEM
  ibrav = 0, nat = 16, ntyp = 4
/
ATOMIC_SPECIES
Tm 168.93 Tm.upf
Sc 44.96 Sc.upf
Ni 58.69 Ni.upf
Os 190.23 Os.upf
CELL_PARAMETERS angstrom
6.5462 0.0000 0.0000
0.0000 6.5462 0.0000
0.0000 0.0000 6.5462
ATOMIC_POSITIONS crystal
Tm 0.0000 0.0000 0.0000
Tm 0.0000 0.5000 0.5000
Tm 0.5000 0.0000 0.5000
Tm 0.5000 0.5000 0.0000
Sc 0.0000 0.0000 0.5000
Sc 0.0000 0.5000 0.0000
Sc 0.5000 0.0000 0.0000
Sc 0.5000 0.5000 0.5000
Ni 0.2500 0.2500 0.2500
Ni 0.2500 0.7500 0.7500
Ni 0.7500 0.2500 0.7500
Ni 0.7500 0.7500 0.2500
Os 0.2500 0.2500 0.7500
Os 0.2500 0.7500 0.2500
Os 0.7500 0.2500 0.2500
Os 0.7500 0.7500 0.7500



Entry 5:
! TmScNiOs (PBE, relaxed); values from VASP
! Symmetry   No. 99
! Uncorrected energy   -7.384 eV/atom
! Total magnetization   0.0000 μB per atom
! E above lowest polymorph   0.0 meV per atom
! Energy of formation   -0.430 eV/atom
&SYSTEM
  ibrav = 0, nat = 4, ntyp = 4
/
ATOMIC_SPECIES
Tm 168.93 Tm.upf
Sc 44.96 Sc.upf
Ni 58.69 Ni.upf
Os 190.23 Os.upf
CELL_PARAMETERS angstrom
3.2978 0.0000 0.0000
0.0000 3.2978 0.0000
0.0000 0.0000 6.4617
ATOMIC_POSITIONS crystal
Tm 0.0000 0.0000 0.0000
Sc 0.0000 0.0000 0.5040
Ni 0.5000 0.5000 0.2646
Os 0.5000 0.5000 0.7358



Entry 6:
! ScUNiOs (PBE, relaxed); values from VASP
! Symmetry   No. 216
! Uncorrected energy   -8.865 eV/atom
! Total magnetization   0.5850 μB per atom
! Energy of formation   -0.208 eV/atom
&SYSTEM
  ibrav = 0, nat = 16, ntyp = 4
/
ATOMIC_SPECIES
Sc 44.96 Sc.upf
U 238.03 U.upf
Ni 58.69 Ni.upf
Os 190.23 Os.upf
CELL_PARAMETERS angstrom
6.5816 0.0000 0.0000
0.0000 6.5816 0.0000
0.0000 0.0000 6.5816
ATOMIC_POSITIONS crystal
Sc 0.0000 0.0000 0.0000
Sc 0.0000 0.5000 0.5000
Sc 0.5000 0.0000 0.5000
Sc 0.5000 0.5000 0.0000
U 0.0000 0.0000 0.5000
U 0.0000 0.5000 0.0000
U 0.5000 0.0000 0.0000
U 0.5000 0.5000 0.5000
Ni 0.2500 0.2500 0.2500
Ni 0.2500 0.7500 0.7500
Ni 0.7500 0.2500 0.7500
Ni 0.7500 0.7500 0.2500
Os 0.2500 0.2500 0.7500
Os 0.2500 0.7500 0.2500
Os 0.7500 0.2500 0.2500
Os 0.7500 0.7500 0.7500



Entry 7:
! ScVNiOs (PBE, relaxed); values from VASP
! Symmetry   No. 216
! Uncorrected energy   -8.371 eV/atom
! Total magnetization   0.3173 μB per atom
! Energy of formation   -0.256 eV/atom
&SYSTEM
  ibrav = 0, nat = 16, ntyp = 4
/
ATOMIC_SPECIES
Sc 44.96 Sc.upf
V 50.94 V.upf
Ni 58.69 Ni.upf
Os 190.23 Os.upf
CELL_PARAMETERS angstrom
6.1687 0.0000 0.0000
0.0000 6.1687 0.0000
0.0000 0.0000 6.1687
ATOMIC_POSITIONS crystal
Sc 0.0000 0.0000 0.0000
Sc 0.0000 0.5000 0.5000
Sc 0.5000 0.0000 0.5000
Sc 0.5000 0.5000 0.0000
V 0.0000 0.0000 0.5000
V 0.0000 0.5000 0.0000
V 0.5000 0.0000 0.0000
V 0.5000 0.5000 0.5000
Ni 0.2500 0.2500 0.7500
Ni 0.2500 0.7500 0.2500
Ni 0.7500 0.2500 0.2500
Ni 0.7500 0.7500 0.7500
Os 0.2500 0.2500 0.2500
Os 0.2500 0.7500 0.7500
Os 0.7500 0.2500 0.7500
Os 0.7500 0.7500 0.2500



Entry 8:
! Sc2NiOsW (PBE, relaxed); values from VASP
! Symmetry   No. 123
! Uncorrected energy   -7.270 eV/atom
! Total magnetization   0.1579 μB per atom
! Energy of formation   1.255 eV/atom
&SYSTEM
  ibrav = 0, nat = 5, ntyp = 4
/
ATOMIC_SPECIES
Sc 44.96 Sc.upf
Ni 58.69 Ni.upf
Os 190.23 Os.upf
W 183.84 W.upf
CELL_PARAMETERS angstrom
5.0052 0.0000 0.0000
0.0000 5.0052 0.0000
0.0000 0.0000 4.6678
ATOMIC_POSITIONS crystal
Sc 0.0000 0.5000 0.0000
Sc 0.5000 0.0000 0.0000
Ni 0.0000 0.0000 0.5000
Os 0.5000 0.5000 0.5000
W 0.5000 0.5000 0.0000



Entry 9:
! ScNi2OsW (PBE, relaxed); values from VASP
! Symmetry   No. 123
! Uncorrected energy   -6.595 eV/atom
! Total magnetization   0.0000 μB per atom
! Energy of formation   1.820 eV/atom
&SYSTEM
  ibrav = 0, nat = 5, ntyp = 4
/
ATOMIC_SPECIES
Sc 44.96 Sc.upf
Ni 58.69 Ni.upf
Os 190.23 Os.upf
W 183.84 W.upf
CELL_PARAMETERS angstrom
4.1209 0.0000 0.0000
0.0000 4.1209 0.0000
0.0000 0.0000 4.8821
ATOMIC_POSITIONS crystal
Sc 0.0000 0.0000 0.0000
Ni 0.0000 0.5000 0.0000
Ni 0.5000 0.0000 0.0000
Os 0.5000 0.5000 0.5000
W 0.0000 0.0000 0.5000



Entry 10:
! YScNiOs (PBE, relaxed); values from VASP
! Symmetry   No. 216
! Uncorrected energy   -7.790 eV/atom
! Total magnetization   0.0000 μB per atom
! Energy of formation   -0.338 eV/atom
&SYSTEM
  ibrav = 0, nat = 16, ntyp = 4
/
ATOMIC_SPECIES
Y 88.91 Y.upf
Sc 44.96 Sc.upf
Ni 58.69 Ni.upf
Os 190.23 Os.upf
CELL_PARAMETERS angstrom
6.6095 0.0000 0.0000
0.0000 6.6095 0.0000
0.0000 0.0000 6.6095
ATOMIC_POSITIONS crystal
Y 0.0000 0.0000 0.0000
Y 0.0000 0.5000 0.5000
Y 0.5000 0.0000 0.5000
Y 0.5000 0.5000 0.0000
Sc 0.0000 0.0000 0.5000
Sc 0.0000 0.5000 0.0000
Sc 0.5000 0.0000 0.0000
Sc 0.5000 0.5000 0.5000
Ni 0.2500 0.2500 0.2500
Ni 0.2500 0.7500 0.7500
Ni 0.7500 0.2500 0.7500
Ni 0.7500 0.7500 0.2500
Os 0.2500 0.2500 0.7500
Os 0.2500 0.7500 0.2500
Os 0.7500 0.2500 0.2500
Os 0.7500 0.7500 0.7500



Entry 11:
! NiOsSe (PBE, relaxed); values from VASP
! Symmetry   No. 107
! Uncorrected energy   -6.326 eV/atom
! Total magnetization   0.0001 μB per atom
! Raw formation energy   0.506 eV per atom
! E above lowest polymorph   84.6 meV per atom
&SYSTEM
  ibrav = 0, nat = 6, ntyp = 3
/
ATOMIC_SPECIES
Ni 58.69 Ni.upf
Os 190.23 Os.upf
Se 78.96 Se.upf
CELL_PARAMETERS angstrom
2.9664 0.0000 0.0000
0.0000 2.9664 0.0000
0.0000 0.0000 9.7210
ATOMIC_POSITIONS crystal
Ni 0.0000 0.0000 0.0000
Ni 0.5000 0.5000 0.5000
Os 0.0000 0.0000 0.6694
Os 0.5000 0.5000 0.1694
Se 0.0000 0.0000 0.3251
Se 0.5000 0.5000 0.8251



Entry 12:
! NiOsSe2 (PBE, relaxed); values from VASP
! Symmetry   No. 47
! Uncorrected energy   -5.177 eV/atom
! Total magnetization   0.0003 μB per atom
! Raw formation energy   0.818 eV per atom
! E above lowest polymorph   803.2 meV per atom
&SYSTEM
  ibrav = 0, nat = 4, ntyp = 3
/
ATOMIC_SPECIES
Ni 58.69 Ni.upf
Os 190.23 Os.upf
Se 78.96 Se.upf
CELL_PARAMETERS angstrom
2.9937 0.0000 0.0000
0.0000 4.1228 0.0000
0.0000 0.0000 5.1519
ATOMIC_POSITIONS crystal
Ni 0.0000 0.0000 0.0000
Os 0.5000 0.0000 0.5000
Se 0.0000 0.5000 0.5000
Se 0.5000 0.5000 0.0000